# 1
Entry from the Alexandria database: a relaxed NaAlSe2 crystal (GGA-PBE).

Lattice parameters (Å, degrees): 15.920 3.921 7.028 90.00 93.12 90.00
Space group Cm (No. 8)
Inequivalent atoms, fractional coordinates:
Na1 0.000 0.000 0.000 [2 per cell]
Na2 0.207 0.000 0.201 [2 per cell]
Al1 0.090 0.500 0.647 [2 per cell]
Al2 0.428 0.000 0.391 [2 per cell]
Se1 0.074 0.500 0.297 [2 per cell]
Se2 0.167 0.000 0.767 [2 per cell]
Se3 0.355 0.500 0.250 [2 per cell]
Se4 0.445 0.000 0.725 [2 per cell]

Values from the calculation:
- DFT total energy (eV per cell) = -64.3
- formation energy without anion corrections (eV per atom) = -1.01
- mass density (Mg/m³) = 3.15



# 2
Entry from the Alexandria database: a relaxed NaAl2Se3 crystal (GGA-PBE).

Lattice parameters (Å, degrees): 22.536 3.741 8.980 90.00 111.52 90.00
Space group C2/m (No. 12)
Inequivalent atoms, fractional coordinates:
Na1 0.157 0.000 0.420 [4 per cell]
Al1 0.058 0.500 0.660 [4 per cell]
Al2 0.224 0.000 0.858 [4 per cell]
Se1 0.054 0.500 0.391 [4 per cell]
Se2 0.109 0.000 0.835 [4 per cell]
Se3 0.237 0.500 0.690 [4 per cell]

Values from the calculation:
- DFT total energy (eV per cell) = -96.6
- formation energy without anion corrections (eV per atom) = -0.82
- mass density (Mg/m³) = 2.96



# 3
Entry from the Alexandria database: a relaxed NaAlSe2 crystal (GGA-PBE).

Lattice parameters (Å, degrees): 3.7679 3.7679 21.2572 90.00 90.00 120.00
Space group R3m (No. 160, hexagonal axes)
Inequivalent atoms, fractional coordinates:
Na1 0.0000 0.0000 0.0000 [3 per cell]
Al1 0.0000 0.0000 0.1670 [3 per cell]
Se1 0.0000 0.0000 0.5671 [3 per cell]
Se2 0.0000 0.0000 0.7666 [3 per cell]

Values from the calculation:
- DFT total energy (eV per cell) = -47.8
- formation energy without anion corrections (eV per atom) = -0.98
- mass density (Mg/m³) = 3.96



Q: Number 2 is which compound?
A: NaAl2Se3



What did the third record say?
Entry from the Alexandria database: a relaxed NaAlSe2 crystal (GGA-PBE).

Lattice parameters (Å, degrees): 3.7679 3.7679 21.2572 90.00 90.00 120.00
Space group R3m (No. 160, hexagonal axes)
Inequivalent atoms, fractional coordinates:
Na1 0.0000 0.0000 0.0000 [3 per cell]
Al1 0.0000 0.0000 0.1670 [3 per cell]
Se1 0.0000 0.0000 0.5671 [3 per cell]
Se2 0.0000 0.0000 0.7666 [3 per cell]

Values from the calculation:
- DFT total energy (eV per cell) = -47.8
- formation energy without anion corrections (eV per atom) = -0.98
- mass density (Mg/m³) = 3.96



What did the second record say?
Entry from the Alexandria database: a relaxed NaAl2Se3 crystal (GGA-PBE).

Lattice parameters (Å, degrees): 22.536 3.741 8.980 90.00 111.52 90.00
Space group C2/m (No. 12)
Inequivalent atoms, fractional coordinates:
Na1 0.157 0.000 0.420 [4 per cell]
Al1 0.058 0.500 0.660 [4 per cell]
Al2 0.224 0.000 0.858 [4 per cell]
Se1 0.054 0.500 0.391 [4 per cell]
Se2 0.109 0.000 0.835 [4 per cell]
Se3 0.237 0.500 0.690 [4 per cell]

Values from the calculation:
- DFT total energy (eV per cell) = -96.6
- formation energy without anion corrections (eV per atom) = -0.82
- mass density (Mg/m³) = 2.96



Q: mass density of number 2 (NaAl2Se3)?
A: 2.96 Mg/m³